1.
Here is an optimized crystal structure of CoPt2Rh from Alexandria via LeMat-Bulk. Energies are from GGA-PBE.

Output
Total DFT energy (no corrections), eV per cell: -49.98
Magnetic moment, μB per formula unit: 2.61
N(E_F), states/eV/atom: 1.682

```
data_CoPt2Rh
_chemical_formula_sum 'Co2 Pt4 Rh2'
_space_group_name_H-M_alt 'P 1'
_space_group_IT_number 1
_space_group_name_Hall 'P 1'
_cell_length_a 6.8884
_cell_length_b 6.8884
_cell_length_c 5.5346
_cell_angle_alpha 51.52
_cell_angle_beta 51.52
_cell_angle_gamma 90.00
loop_
_atom_site_label
_atom_site_fract_x
_atom_site_fract_y
_atom_site_fract_z
Rh1 0.0000 0.0000 0.0000
Rh2 0.7500 0.2500 0.5000
Co1 0.5000 0.5000 0.0000
Co2 0.2500 0.7500 0.5000
Pt1 0.8750 0.8500 0.7500
Pt2 0.1500 0.6250 0.2500
Pt3 0.3750 0.4000 0.7500
Pt4 0.6000 0.1250 0.2500
```

2.
Here is an optimized crystal structure of Co2PtRh from Alexandria via LeMat-Bulk. Energies are from GGA-PBE.

Output
Total DFT energy (no corrections), eV per cell: -51.29
Magnetic moment, μB per formula unit: 4.93
N(E_F), states/eV/atom: 1.833

```
data_Co2PtRh
_chemical_formula_sum 'Co4 Pt2 Rh2'
_space_group_name_H-M_alt 'P 1'
_space_group_IT_number 1
_space_group_name_Hall 'P 1'
_cell_length_a 6.6395
_cell_length_b 6.6395
_cell_length_c 5.3912
_cell_angle_alpha 51.99
_cell_angle_beta 51.99
_cell_angle_gamma 90.00
loop_
_atom_site_label
_atom_site_fract_x
_atom_site_fract_y
_atom_site_fract_z
Co1 0.8750 0.8668 0.7500
Co2 0.3750 0.3832 0.7500
Co3 0.6168 0.1250 0.2500
Co4 0.1332 0.6250 0.2500
Pt1 0.0000 0.0000 0.0000
Pt2 0.7500 0.2500 0.5000
Rh1 0.2500 0.7500 0.5000
Rh2 0.5000 0.5000 0.0000
```